No. 1
Density functional theory data (PBE) for a relaxed CaAs crystal.

Cell: 5.9432 5.9432 4.4325 Å, 79.25 79.25 41.06°
With the nearest neighbours (Å) after each atom.
Positions (direct):
Ca 0.2453 0.2453 0.1286  7 As 2.98-3.29, 1 Ca 3.29
Ca 0.5047 0.5047 0.6214  7 As 2.98-3.29, 1 Ca 3.29
As 0.9714 0.9714 0.1633  1 As 2.55
As 0.7786 0.7786 0.5867  1 As 2.55

Properties
Electronic total energy: -17.3 eV/cell
Symmetry: C2/m
E_form: -0.99 eV/atom



No. 2
Density functional theory data (PBE) for a relaxed CaAs crystal.

Cell: 13.1930 4.6361 5.8988 Å, 90.00 90.00 90.00°
With the nearest neighbours (Å) after each atom.
Positions (direct):
Ca 0.3009 0.7523 0.3043  5 As 2.93-3.05
Ca 0.0000 0.7607 0.2578  6 As 2.86-3.19
Ca 0.6991 0.7523 0.3043  5 As 2.93-3.05
Ca 0.1991 0.2477 0.8043  5 As 2.93-3.05
Ca 0.8009 0.2477 0.8043  5 As 2.93-3.05
Ca 0.5000 0.2393 0.7578  6 As 2.86-3.19
As 0.3375 0.7466 0.7943  1 As 2.61
As 0.1625 0.2534 0.2943  1 As 2.61
As 0.8375 0.2534 0.2943  1 As 2.61
As 0.0000 0.2654 0.5471  2 As 2.61, 2 Ca 2.86-2.90
As 0.5000 0.7346 0.0471  2 As 2.61, 2 Ca 2.86-2.90
As 0.6625 0.7466 0.7943  1 As 2.61

Properties
Electronic total energy: -49.8 eV/cell
Symmetry: Pmn2_1
E_form: -0.82 eV/atom



No. 3
Density functional theory data (PBE) for a relaxed CaAs crystal.

Cell: 3.5068 3.5068 11.3027 Å, 90.00 90.00 120.00°
With the nearest neighbours (Å) after each atom.
Positions (direct):
Ca 0.6667 0.3333 0.7792  3 As 2.98
Ca 0.0000 0.0000 0.4708  3 As 2.98
As 0.6667 0.3333 0.2769  3 Ca 2.98
As 0.0000 0.0000 0.9731  3 Ca 2.98

Properties
Electronic total energy: -12.9 eV/cell
Symmetry: P-3m1
E_form: 0.11 eV/atom



No. 4
Density functional theory data (PBE) for a relaxed CaAs crystal.

Cell: 5.8855 7.9262 7.9262 Å, 120.00 90.00 90.00°
With the nearest neighbours (Å) after each atom.
Positions (direct):
As 0.7771 0.6667 0.3333  1 As 2.62
As 0.2834 0.0000 0.0000  1 As 2.55
As 0.7771 0.3333 0.6667  1 As 2.62
As 0.2229 0.3333 0.6667  1 As 2.62
As 0.7166 0.0000 0.0000  1 As 2.55
As 0.2229 0.6667 0.3333  1 As 2.62
Ca 0.0000 0.3189 0.0000  6 As 3.00-3.03
Ca 0.5000 0.6520 0.0000  6 As 3.04-3.06
Ca 0.5000 0.3480 0.3480  6 As 3.04-3.06
Ca 0.0000 0.6811 0.6811  6 As 3.00-3.03
Ca 0.5000 0.0000 0.6520  6 As 3.04-3.06
Ca 0.0000 0.0000 0.3189  6 As 3.00-3.03

Properties
Electronic total energy: -53.1 eV/cell
Symmetry: P-62m
E_form: -1.10 eV/atom



No. 5
Density functional theory data (PBE) for a relaxed Ca3As crystal.

Cell: 4.3128 4.4512 7.4167 Å, 65.22 90.00 90.00°
With the nearest neighbours (Å) after each atom.
Positions (direct):
Ca 0.5000 0.1689 0.2112  2 As 2.94, 1 Ca 3.28
Ca 0.0000 0.5000 0.5000  2 As 3.43, 8 Ca 3.57-3.75
Ca 0.5000 0.8311 0.7888  2 As 2.94, 1 Ca 3.28
As 0.0000 0.0000 0.0000  4 Ca 2.94

Properties
Electronic total energy: -12.7 eV/cell
Symmetry: P2/m
E_form: -0.51 eV/atom



No. 6
Density functional theory data (PBE) for a relaxed Ca3As crystal.

Cell: 4.8565 4.8570 4.8589 Å, 90.00 90.00 90.00°
With the nearest neighbours (Å) after each atom.
Positions (direct):
As 0.0000 0.0000 0.9164  12 Ca 3.43-3.44
Ca 0.5000 0.5000 0.9167  4 As 3.43, 8 Ca 3.43-3.44
Ca 0.5000 0.0000 0.4167  4 As 3.43-3.44, 8 Ca 3.43-3.44
Ca 0.0000 0.5000 0.4168  4 As 3.43-3.44, 8 Ca 3.43-3.44

Properties
Electronic total energy: -12.4 eV/cell
Symmetry: Pm-3m
E_form: -0.44 eV/atom



No. 7
Density functional theory data (PBE) for a relaxed CaAs5 crystal.

Cell: 3.8136 3.8136 9.9860 Å, 90.00 90.00 90.00°
With the nearest neighbours (Å) after each atom.
Positions (direct):
Ca 0.5000 0.5000 0.0000  8 As 2.95
As 0.0000 0.0000 0.1202  1 As 2.40
As 0.5000 0.5000 0.6218  1 As 2.43
As 0.0000 0.0000 0.8798  1 As 2.40
As 0.5000 0.5000 0.3782  1 As 2.43
As 0.0000 0.0000 0.5000  8 As 2.96

Properties
Electronic total energy: -25.5 eV/cell
Symmetry: P4/mmm
E_form: -0.04 eV/atom



No. 8
Density functional theory data (PBE) for a relaxed Ca3As crystal.

Cell: 8.1674 8.1674 4.1753 Å, 90.00 90.00 107.05°
With the nearest neighbours (Å) after each atom.
Positions (direct):
Ca 0.8845 0.1155 0.7500  2 As 2.96
Ca 0.1155 0.8845 0.2500  2 As 2.96
Ca 0.1883 0.4433 0.2500  2 As 3.03
Ca 0.8117 0.5567 0.7500  2 As 3.03
Ca 0.5567 0.8117 0.2500  2 As 3.03
Ca 0.4433 0.1883 0.7500  2 As 3.03
As 0.2758 0.7242 0.7500  6 Ca 2.96-3.03
As 0.7242 0.2758 0.2500  6 Ca 2.96-3.03

Properties
Electronic total energy: -26.2 eV/cell
Symmetry: Cmcm
E_form: -0.61 eV/atom



No. 9
Density functional theory data (PBE) for a relaxed Ca2As crystal.

Cell: 4.3613 6.8353 6.9060 Å, 90.00 90.00 90.00°
With the nearest neighbours (Å) after each atom.
Positions (direct):
As 0.0000 0.0000 0.0000  6 Ca 2.92-2.93
As 0.5000 0.5000 0.5000  6 Ca 2.92-2.93
Ca 0.5000 0.7761 0.8228  3 As 2.92-2.93
Ca 0.0000 0.2761 0.6772  3 As 2.92-2.93
Ca 0.5000 0.2239 0.1772  3 As 2.92-2.93
Ca 0.0000 0.7239 0.3228  3 As 2.92-2.93

Properties
Electronic total energy: -22.5 eV/cell
Symmetry: Pnnm
E_form: -0.87 eV/atom



No. 10
Density functional theory data (PBE) for a relaxed Ca2As crystal.

Cell: 4.5082 4.5082 8.0697 Å, 90.00 90.00 90.00°
With the nearest neighbours (Å) after each atom.
Positions (direct):
Ca 0.5000 0.0000 0.1386  5 As 3.00-3.28
Ca 0.0000 0.0000 0.5000  4 As 3.12, 4 Ca 3.19
Ca 0.0000 0.5000 0.8614  5 As 3.00-3.28
Ca 0.5000 0.5000 0.5000  4 As 3.12, 4 Ca 3.19
As 0.0000 0.5000 0.2330  9 Ca 3.00-3.28
As 0.5000 0.0000 0.7670  9 Ca 3.00-3.28

Properties
Electronic total energy: -22.5 eV/cell
Symmetry: P4/nmm
E_form: -0.87 eV/atom



No. 11
Density functional theory data (PBE) for a relaxed Ca3As crystal.

Cell: 3.8046 4.9369 7.6813 Å, 108.75 104.34 90.00°
With the nearest neighbours (Å) after each atom.
Positions (direct):
Ca 0.6688 0.0855 0.3377  2 As 3.04
Ca 0.3312 0.7478 0.6623  2 As 3.04
Ca 0.5000 0.4167 0.0000  4 As 3.12, 4 Ca 3.42
As 0.0000 0.9167 0.0000  8 Ca 3.04-3.12

Properties
Electronic total energy: -13.0 eV/cell
Symmetry: Immm
E_form: -0.58 eV/atom



No. 12
Density functional theory data (PBE) for a relaxed CaAs crystal.

Cell: 3.4629 4.9317 6.0481 Å, 90.00 90.00 90.00°
With the nearest neighbours (Å) after each atom.
Positions (direct):
Ca 0.0000 0.0000 0.6246  6 As 3.01-3.02
Ca 0.5000 0.5000 0.1254  6 As 3.01-3.02
As 0.0000 0.0000 0.1246  6 Ca 3.01-3.02
As 0.5000 0.5000 0.6254  6 Ca 3.01-3.02

Properties
Electronic total energy: -16.8 eV/cell
Symmetry: Immm
E_form: -0.87 eV/atom